Entry 1:
VASP calculation (PBEsol) on TiIn2RhO after structural relaxation.

- Formation energy (no corrections): 0.3173 eV per atom

Cell and atoms, written as CIF:
```
data_TiIn2RhO
_space_group_name_H-M_alt 'P 4/m m m'
_space_group_IT_number 123
_space_group_name_Hall '-P 4 2'
_cell_length_a 4.981
_cell_length_b 4.981
_cell_length_c 4.539
_cell_angle_alpha 90.00
_cell_angle_beta 90.00
_cell_angle_gamma 90.00
loop_
_atom_site_label
_atom_site_type_symbol
_atom_site_fract_x
_atom_site_fract_y
_atom_site_fract_z
Ti1 Ti 0.000 0.000 0.000
In1 In 0.000 0.500 0.500
Rh1 Rh 0.000 0.000 0.500
O1 O 0.500 0.500 0.000
```

Entry 2:
VASP calculation (PBEsol) on InRuO3 after structural relaxation.

- Formation energy (no corrections): -0.8178 eV per atom

Cell and atoms, written as CIF:
```
data_InRuO3
_space_group_name_H-M_alt 'P m -3 m'
_space_group_IT_number 221
_space_group_name_Hall '-P 4 2 3'
_cell_length_a 3.885
_cell_length_b 3.885
_cell_length_c 3.885
_cell_angle_alpha 90.00
_cell_angle_beta 90.00
_cell_angle_gamma 90.00
loop_
_atom_site_label
_atom_site_type_symbol
_atom_site_fract_x
_atom_site_fract_y
_atom_site_fract_z
In1 In 0.000 0.000 0.000
Ru1 Ru 0.500 0.500 0.500
O1 O 0.000 0.500 0.500
```

Entry 3:
VASP calculation (PBEsol) on InRu2O after structural relaxation.

- Formation energy (no corrections): 0.8715 eV per atom

Cell and atoms, written as CIF:
```
data_InRu2O
_space_group_name_H-M_alt 'F m -3 m'
_space_group_IT_number 225
_space_group_name_Hall '-F 4 2 3'
_cell_length_a 6.058
_cell_length_b 6.058
_cell_length_c 6.058
_cell_angle_alpha 90.00
_cell_angle_beta 90.00
_cell_angle_gamma 90.00
loop_
_atom_site_label
_atom_site_type_symbol
_atom_site_fract_x
_atom_site_fract_y
_atom_site_fract_z
In1 In 0.000 0.000 0.000
Ru1 Ru 0.250 0.250 0.250
O1 O 0.000 0.000 0.500
```